# 1
# Ag3SnBi2Te6

A relaxed Ag3SnBi2Te6 crystal (GGA-PBE, Alexandria).

Values from the calculation:
formation energy without anion corrections	-0.154	eV per atom
energy	-41.02	eV/cell
space-group type	C2/m (12)

```
Ag3SnBi2Te6
1.0
4.400 0.000 0.000
0.000 8.648 0.412
-2.200 -2.397 9.138
Ag Bi Te Sn
3 2 6 1
Cartesian
2.200 4.324 0.206
2.200 -0.164 6.138
0.000 6.414 3.412
2.200 4.169 6.387
0.000 2.082 3.163
0.000 6.393 0.409
0.000 1.890 6.322
2.200 -0.177 3.139
2.200 4.360 3.228
0.000 6.427 6.411
2.200 -0.143 9.141
2.200 0.000 0.000
```


# 2
# AgSnBiTe3

A relaxed AgSnBiTe3 crystal (GGA-PBE, Alexandria).

Values from the calculation:
formation energy without anion corrections	-0.168	eV per atom
energy	-42.33	eV/cell
space-group type	P2_1/m (11)

```
AgSnBiTe3
1.0
4.376 0.000 0.000
0.000 8.862 0.243
0.000 -2.102 9.842
Te Sn Bi Ag
6 2 2 2
Cartesian
1.094 3.453 8.386
3.282 3.308 1.699
1.094 -1.114 8.568
3.282 7.874 1.516
3.282 1.265 5.125
1.094 5.496 4.959
1.094 1.083 2.836
3.282 5.677 7.248
1.094 5.681 1.584
3.282 1.079 8.501
3.282 7.373 4.306
1.094 -0.613 5.779
```


# 3
# TlAgSnBi

A relaxed TlAgSnBi crystal (GGA-PBE, Alexandria).

Values from the calculation:
energy	-12.59	eV/cell
energy of formation	0.129	eV per atom
space-group type	F-43m (216)

```
TlAgSnBi
1.0
-2.703 -4.606 0.425
-1.220 -2.806 -4.398
2.467 -4.654 -0.978
Ag Sn Bi Tl
1 1 1 1
Cartesian
-0.728 -6.033 -2.475
0.000 0.000 0.000
-1.091 -9.049 -3.713
-0.364 -3.016 -1.238
```


# 4
# VAgSn2Bi

A relaxed VAgSn2Bi crystal (GGA-PBE, Alexandria).

Values from the calculation:
energy	-21.90	eV/cell
energy of formation	0.391	eV per atom
space-group type	P4/mmm (123)

```
VAgSn2Bi
1.0
5.179 0.000 0.000
0.000 5.227 0.000
0.000 0.000 5.179
Sn V Bi Ag
2 1 1 1
Cartesian
0.000 0.000 2.589
2.589 0.000 0.000
0.000 0.000 0.000
0.000 2.614 0.000
2.589 2.614 2.589
```


# 5
# ZnAgSnBi

A relaxed ZnAgSnBi crystal (GGA-PBE, Alexandria).

Values from the calculation:
energy	-11.43	eV/cell
energy of formation	0.145	eV per atom
space-group type	F-43m (216)

```
ZnAgSnBi
1.0
5.108 0.000 0.000
2.554 4.424 0.000
2.554 1.475 4.171
Sn Bi Zn Ag
1 1 1 1
Cartesian
2.554 1.475 1.043
7.662 4.424 3.128
0.000 0.000 0.000
5.108 2.949 2.085
```


# 6
# SrAg3Bi2

A relaxed SrAg3Bi2 crystal (GGA-PBE, Alexandria).

Values from the calculation:
energy	-39.07	eV/cell
energy of formation	-0.256	eV per atom
space-group type	C2/m (12)

```
SrAg3Bi2
1.0
-0.284 0.737 4.787
-5.317 -8.353 -1.488
7.404 -0.915 0.581
Bi Ag Sr
4 6 2
Cartesian
0.360 -8.425 1.319
1.443 -0.106 2.561
-1.529 -4.057 2.993
3.332 -4.474 0.887
0.496 -5.207 0.832
2.826 -1.621 0.418
-2.206 -6.101 0.809
-1.023 -6.910 3.462
4.009 -2.430 3.071
1.307 -3.324 3.049
2.489 -6.516 3.610
-0.686 -2.015 0.270
```


# 7
# SrAg2Bi2

A relaxed SrAg2Bi2 crystal (GGA-PBE, Alexandria).

Values from the calculation:
energy	-32.59	eV/cell
energy of formation	-0.230	eV per atom
space-group type	P4/mbm (127)

```
SrAg2Bi2
1.0
8.546 0.000 0.000
0.000 8.546 0.000
0.000 0.000 3.751
Bi Sr Ag
4 2 4
Cartesian
1.553 5.826 1.876
5.826 6.993 1.876
6.993 2.720 1.876
2.720 1.553 1.876
0.000 0.000 0.000
4.273 4.273 0.000
7.549 5.269 0.000
0.996 3.277 0.000
5.269 0.996 0.000
3.277 7.549 0.000
```


# 8
# SrAgBi

A relaxed SrAgBi crystal (GGA-PBE, Alexandria).

Values from the calculation:
energy	-19.79	eV/cell
energy of formation	-0.494	eV per atom
space-group type	C2/m (12)

```
SrAgBi
1.0
8.841 0.002 -0.001
-4.419 5.010 -0.021
0.000 2.397 4.254
Ag Sr Bi
2 2 2
Cartesian
-3.515 6.686 3.102
-0.790 6.667 3.110
6.680 3.575 2.052
2.276 4.767 4.180
3.842 5.482 0.978
0.695 5.472 0.981
```


# 9
# SrAgBi2

A relaxed SrAgBi2 crystal (GGA-PBE, Alexandria).

Values from the calculation:
energy	-26.38	eV/cell
energy of formation	-0.224	eV per atom
space-group type	I-42d (122)

```
SrAgBi2
1.0
5.397 0.000 0.000
0.000 5.397 0.000
2.698 2.698 10.017
Sr Bi Ag
2 4 2
Cartesian
2.698 5.397 5.009
2.698 2.698 0.000
4.047 3.520 7.513
0.822 4.047 2.504
4.575 1.349 2.504
6.746 7.273 7.513
5.397 2.698 5.009
0.000 0.000 0.000
```


# 10
# SrAg3Bi3

A relaxed SrAg3Bi3 crystal (GGA-PBE, Alexandria).

Values from the calculation:
energy	-42.17	eV/cell
energy of formation	0.113	eV per atom
space-group type	Pm-3n (223)

```
SrAg3Bi3
1.0
-0.305 -5.276 5.849
4.554 -4.894 -4.178
6.427 3.218 3.238
Ag Sr Bi
6 2 6
Cartesian
4.668 -0.225 5.353
1.454 -1.834 3.734
6.629 -2.061 -1.514
4.352 0.385 0.574
2.201 -3.766 -0.627
2.049 -6.404 2.298
0.000 0.000 0.000
5.338 -3.476 2.454
0.986 -3.862 1.880
3.884 -1.642 -1.279
3.137 0.290 3.081
2.985 -2.349 6.005
7.097 -0.034 0.339
3.263 -6.308 -0.209
```


# 11
# SrAgBi

A relaxed SrAgBi crystal (GGA-PBE, Alexandria).

Values from the calculation:
energy	-20.28	eV/cell
energy of formation	-0.575	eV per atom
space-group type	P4/nmm (129)

```
SrAgBi
1.0
-6.348 -4.703 4.483
-2.063 -4.044 -1.825
3.489 -2.721 2.086
Sr Ag Bi
2 2 2
Cartesian
-1.910 -5.678 -0.350
-3.794 -9.460 3.602
-1.463 -7.237 2.606
-2.178 -3.858 2.471
-4.236 -6.037 3.071
0.594 -5.057 2.006
```


# 12
# SrAgBi2

A relaxed SrAgBi2 crystal (GGA-PBE, Alexandria).

Values from the calculation:
energy	-11.66	eV/cell
energy of formation	0.160	eV per atom
space-group type	R-3m (166)

```
SrAgBi2
1.0
4.555 0.000 0.000
2.278 3.945 0.000
2.278 1.315 9.220
Bi Ag Sr
2 1 1
Cartesian
2.278 1.315 5.808
6.833 3.945 3.412
4.555 2.630 4.610
0.000 0.000 0.000
```


# 13
# SrAg2Bi2

A relaxed SrAg2Bi2 crystal (GGA-PBE, Alexandria).

Values from the calculation:
energy	-31.50	eV/cell
energy of formation	-0.121	eV per atom
space-group type	P4/mbm (127)

```
SrAg2Bi2
1.0
8.814 0.000 0.000
0.000 8.814 0.000
0.000 0.000 3.599
Ag Bi Sr
4 4 2
Cartesian
1.302 5.709 1.800
5.709 7.512 1.800
3.105 1.302 1.800
7.512 3.105 1.800
3.095 7.502 0.000
1.312 3.095 0.000
7.502 5.719 0.000
5.719 1.312 0.000
0.000 0.000 0.000
4.407 4.407 0.000
```


# 14
# Sr3AgBi3

A relaxed Sr3AgBi3 crystal (GGA-PBE, Alexandria).

Values from the calculation:
energy	-48.57	eV/cell
energy of formation	-0.678	eV per atom
space-group type	C2/m (12)

```
Sr3AgBi3
1.0
4.814 0.000 0.725
2.319 6.320 0.948
0.050 0.992 16.010
Sr Bi Ag
6 6 2
Cartesian
4.549 4.875 2.484
3.361 2.493 10.372
3.822 4.818 7.312
2.634 2.437 15.200
1.850 1.875 4.062
5.333 5.437 13.622
1.349 2.129 7.387
2.576 5.843 15.585
0.593 1.877 12.404
4.607 1.469 2.098
6.590 5.434 5.280
5.834 5.182 10.297
3.892 0.817 6.843
3.290 6.495 10.840
```


# 15
# Sr8AgBi5

A relaxed Sr8AgBi5 crystal (GGA-PBE, Alexandria).

Values from the calculation:
energy	-47.29	eV/cell
energy of formation	-0.827	eV per atom
space-group type	I-4 (82)

```
Sr8AgBi5
1.0
-2.996 -8.313 0.339
8.663 0.081 1.774
-4.273 4.929 5.971
Bi Sr Ag
5 8 1
Cartesian
2.696 0.559 1.470
-3.634 -1.692 3.155
3.981 -5.915 3.349
-4.293 1.818 6.215
0.404 -3.068 5.133
2.742 -2.802 2.734
6.052 -0.867 1.556
2.188 -0.857 7.013
-2.298 -0.944 6.174
4.039 1.587 4.427
-0.295 -0.405 2.740
-5.158 -4.478 4.858
-1.695 -4.449 2.832
0.378 1.659 5.450
```


# 16
# SrAgBi

A relaxed SrAgBi crystal (GGA-PBE, Alexandria).

Values from the calculation:
energy	-19.98	eV/cell
energy of formation	-0.525	eV per atom
space-group type	C2/m (12)

```
SrAgBi
1.0
5.150 -0.001 -0.004
-0.001 8.698 0.049
2.575 -1.488 4.147
Bi Ag Sr
2 2 2
Cartesian
6.613 -0.898 3.767
4.038 3.451 3.793
4.040 3.580 0.691
6.612 4.811 2.743
4.036 6.761 1.897
1.464 1.631 1.542
```


# 17
# SrAgBi

A relaxed SrAgBi crystal (GGA-PBE, Alexandria).

Values from the calculation:
energy	-10.05	eV/cell
energy of formation	-0.547	eV per atom
space-group type	P3m1 (156)

```
SrAgBi
1.0
4.626 0.000 0.000
0.000 4.889 0.000
0.000 -2.444 4.234
Bi Sr Ag
1 1 1
Cartesian
0.762 0.000 0.000
3.083 2.444 1.411
0.781 0.000 2.822
```


# 18
# SrAgBi

A relaxed SrAgBi crystal (GGA-PBE, Alexandria).

Values from the calculation:
energy	-20.01	eV/cell
energy of formation	-0.530	eV per atom
space-group type	R3m (160)

```
SrAgBi
1.0
4.920 0.000 -0.005
-2.461 4.260 0.000
2.465 1.424 9.216
Sr Bi Ag
2 2 2
Cartesian
1.448 3.100 7.930
3.908 1.678 3.150
3.908 4.518 5.507
1.446 0.257 0.790
1.446 3.098 1.011
1.449 3.098 4.823
```


# 19
# Sr2AgBi2

A relaxed Sr2AgBi2 crystal (GGA-PBE, Alexandria).

Values from the calculation:
energy	-33.33	eV/cell
energy of formation	-0.537	eV per atom
space-group type	P4/mbm (127)

```
Sr2AgBi2
1.0
-6.115 -4.372 3.397
4.651 -1.311 6.686
-1.804 4.126 2.064
Sr Ag Bi
4 2 4
Cartesian
-4.445 -2.010 6.077
1.178 0.453 6.069
-1.117 -1.948 8.863
-2.150 0.391 3.283
0.000 0.000 0.000
-0.732 -2.842 5.041
0.816 -1.085 2.882
-3.263 -2.983 3.112
-2.280 -4.598 7.201
1.799 -2.700 6.971
```


# 20
# SrAg2Bi2

A relaxed SrAg2Bi2 crystal (GGA-PBE, Alexandria).

Values from the calculation:
energy	-16.56	eV/cell
energy of formation	-0.283	eV per atom
space-group type	I4/mmm (139)

```
SrAg2Bi2
1.0
-3.559 3.010 0.395
-2.487 -3.240 2.280
-0.525 2.073 7.172
Bi Sr Ag
2 1 2
Cartesian
-2.435 0.399 2.709
-4.135 1.444 7.137
0.000 0.000 0.000
-3.017 -0.641 5.394
-3.553 2.484 4.452
```